Computed, not measured: crystalline Nd2Ga5Au3 at its relaxed geometry at the GGA-PBE level of DFT.

```
20
Lattice="-5.776 -4.393 -4.836 2.970 0.010 8.199 -4.936 7.173 -0.479" Properties=species:S:1:pos:R:3 pbc="T T T"
Au -0.702 -1.096 0.841
Au -2.105 -3.287 2.522
Au -5.090 -2.043 -1.202
Au -4.164 1.889 -1.012
Au -3.579 0.901 3.896
Au -2.652 4.833 4.086
Ga -4.816 -3.663 -3.085
Ga -3.199 -0.447 -0.399
Ga -4.603 -2.639 1.283
Ga -2.940 -0.814 2.194
Ga -6.058 0.294 -1.817
Ga -1.685 2.496 4.701
Ga -4.803 3.604 0.690
Ga -3.140 5.429 1.601
Ga -4.543 3.238 3.282
Ga -2.926 6.454 5.968
Nd -0.559 -0.669 4.370
Nd -1.870 2.227 1.341
Nd -5.872 0.563 1.542
Nd -7.183 3.459 -1.486
```

mass density: 9.995 g/cm3
crystal system: orthorhombic
calculated total energy: -81.88 eV for the cell shown